(A)
Crystalline Ac4Br5N2 at its relaxed geometry, computed with PBE.

```
Ac4Br5N2
1.0
-3.1447 2.5008 -0.1846
-3.7881 -5.2079 -6.0202
-4.4838 -8.4471 5.7650
Br N Ac
5 2 4
direct
0.8027 0.3208 0.6054
0.1973 0.6792 0.3946
0.8260 0.8455 0.6520
0.5000 0.0000 0.0000
0.1740 0.1545 0.3480
0.0712 0.5028 0.1425
0.9288 0.4972 0.8575
0.0220 0.2837 0.0440
0.3521 0.5442 0.7043
0.9780 0.7163 0.9560
0.6479 0.4558 0.2957
```

Properties
The value obtained for the magnetic moment is 0.00 μB per atom.

---

(B)
Crystalline Ac4Br5N2 at its relaxed geometry, computed with PBE.

```
Ac4Br5N2
1.0
-3.0080 -2.1104 1.5072
1.7668 -6.5168 -5.5990
6.3225 0.5753 8.1910
Br Ac N
5 4 2
direct
0.5000 0.0000 0.0000
0.8333 0.6264 0.6667
0.1667 0.9591 0.3334
0.8333 0.0409 0.6666
0.1667 0.3736 0.3333
0.0000 0.7024 0.0000
0.6707 0.6704 0.3414
0.3293 0.3296 0.6586
0.0000 0.2976 0.0000
0.4618 0.4618 0.9236
0.5382 0.5382 0.0764
```

Properties
The value obtained for the magnetic moment is 0.00 μB per atom.

---

Least stable: (B)

---

(A)
Crystalline Ac3Br2N2 at its relaxed geometry, computed with PBE.

```
Ac3Br2N2
1.0
3.8169 -0.0004 0.0006
-1.8958 6.5521 -0.2039
-0.0051 -1.2549 8.0194
Br Ac N
2 3 2
direct
0.1201 0.2382 0.3789
0.8799 0.7618 0.6211
0.0000 0.0000 0.0000
0.7756 0.5519 0.2024
0.2244 0.4481 0.7976
0.6387 0.2776 0.9507
0.3613 0.7224 0.0493
```

Properties
The value obtained for the magnetic moment is 0.00 μB per atom.

---

(B)
Crystalline Ac3Br2N2 at its relaxed geometry, computed with PBE.

```
Ac3Br2N2
1.0
4.0031 0.0000 0.8873
1.6762 9.0496 1.9114
-0.5153 0.6968 11.7979
Br Ac N
4 6 4
direct
0.7448 0.8559 0.6546
0.4191 0.2045 0.9572
0.5809 0.7955 0.0428
0.2552 0.1441 0.3454
0.9099 0.9930 0.1873
0.1053 0.5430 0.2465
0.4136 0.7157 0.4571
0.0901 0.0070 0.8127
0.8947 0.4570 0.7535
0.5864 0.2843 0.5429
0.9519 0.7724 0.3239
0.5707 0.4969 0.3618
0.0481 0.2276 0.6761
0.4293 0.5031 0.6382
```

Properties
The value obtained for the magnetic moment is 0.00 μB per atom.

---

Least stable: (A)

---

(A)
Crystalline Ac4Br3N2 at its relaxed geometry, computed with PBE.

```
Ac4Br3N2
1.0
-3.6573 -0.3658 -1.9990
4.8772 1.4400 -9.1868
-0.2398 -7.4966 6.1892
Br Ac N
3 4 2
direct
0.1876 0.5445 0.3752
0.0000 0.0000 0.0000
0.8124 0.4555 0.6248
0.2418 0.1403 0.4835
0.5016 0.7300 0.0031
0.7582 0.8597 0.5165
0.4984 0.2700 0.9969
0.3308 0.0456 0.6615
0.6692 0.9544 0.3385
```

Properties
The value obtained for the magnetic moment is 0.00 μB per atom.

---

(B)
Crystalline Ac4Br3N2 at its relaxed geometry, computed with PBE.

```
Ac4Br3N2
1.0
3.7647 0.0000 0.0000
-1.8824 7.9203 0.3903
0.0000 -2.5837 8.8017
Br N Ac
3 2 4
direct
0.5907 0.1813 0.4053
0.4093 0.8187 0.5947
0.0000 0.0000 0.0000
0.3036 0.6072 0.1799
0.6964 0.3928 0.8201
0.0941 0.1881 0.7180
0.9059 0.8119 0.2820
0.3179 0.6357 0.8952
0.6821 0.3643 0.1048
```

Properties
The value obtained for the magnetic moment is 0.00 μB per atom.

---

Least stable: (B)